Ca2Zn5Cu2Pd, optimized geometry, DFT PBE-GGA; V = 177.0 Å³/f.u.; ΔE_f = -221 meV per atom
1.0
9.377 0.000 0.000
0.000 9.377 0.000
0.000 0.000 4.025
Ca Zn Cu Pd
4 10 4 2
Direct
0.186 0.314 0.000 Ca
0.314 0.814 0.000 Ca
0.686 0.186 0.000 Ca
0.814 0.686 0.000 Ca
0.000 0.500 0.500 Zn
0.051 0.799 0.500 Zn
0.201 0.051 0.500 Zn
0.299 0.551 0.500 Zn
0.449 0.299 0.500 Zn
0.500 0.000 0.500 Zn
0.551 0.701 0.500 Zn
0.701 0.449 0.500 Zn
0.799 0.949 0.500 Zn
0.949 0.201 0.500 Zn
0.107 0.607 0.000 Cu
0.393 0.107 0.000 Cu
0.607 0.893 0.000 Cu
0.893 0.393 0.000 Cu
0.000 0.000 0.000 Pd
0.500 0.500 0.000 Pd